Compound: NpCoSiO6
Source: Alexandria
Functional: GGA+U
Structure: relaxed

* density: 6.93 g/cm³
* magnetization: 4.000 Bohr magnetons per cell
* calculated volume: 11.18 A^3/atom
* E: -8.094 eV per atom

Lattice parameters (Å, degrees): 5.117 5.117 8.872 90.00 90.00 120.00
Each line ends with the local moment (μB).
Element x y z (fractional)
O (0.371, 0.040, 0.136)  0.06
O (0.668, 0.629, 0.136)  0.06
O (0.960, 0.629, 0.364)  0.06
O (0.668, 0.040, 0.364)  0.06
O (0.040, 0.668, 0.864)  0.06
O (0.040, 0.371, 0.636)  0.06
O (0.332, 0.960, 0.636)  0.06
O (0.629, 0.668, 0.636)  0.06
O (0.332, 0.371, 0.864)  0.06
O (0.960, 0.332, 0.136)  0.06
O (0.371, 0.332, 0.364)  0.06
O (0.629, 0.960, 0.864)  0.06
Np (0.333, 0.667, 0.250)  -1.18
Np (0.667, 0.333, 0.750)  -1.18
Co (0.000, 0.000, 0.500)  2.76
Co (0.000, 0.000, 0.000)  2.76
Si (0.667, 0.333, 0.250)  0.01
Si (0.333, 0.667, 0.750)  0.01